The following is a DFT calculation (PBE) of a geometry-optimized K3Ce2ZrTe6 structure.

Summary:
DFT total energy: -0.1745 Ha/atom
volume: 869.9 Å³/cell
energy relative to the elements, uncorrected: -1.203 eV/atom
N(E_F): 16.4 states/eV/f.u.

abc: 7.773 13.475 8.704
angles: 90.00 107.40 90.00
Space group C2/m (No. 12)
Inequivalent atoms, fractional coordinates:
K: 0.000 0.000 0.000 [2 per cell]
K: 0.000 0.328 0.000 [4 per cell]
Ce: 0.000 0.166 0.500 [4 per cell]
Zr: 0.000 0.500 0.500 [2 per cell]
Te: 0.228 0.342 0.710 [8 per cell]
Te: 0.244 0.500 0.288 [4 per cell]

=====

The following is a DFT calculation (PBE) of a geometry-optimized CeNdTm2 structure.

Summary:
formation energy from the elements: 59 meV/atom
DFT total energy: -0.1783 Ha/atom
volume: 124.4 Å³/cell
excess energy over the best structure of this formula in the dataset: 0.03 eV per formula unit
N(E_F): 7.5 states/eV/f.u.

abc: 3.555 3.555 9.843
angles: 90.00 90.00 90.00
Space group P4/mmm (No. 123)
Inequivalent atoms, fractional coordinates:
Ce: 0.000 0.000 0.000 [1 per cell]
Nd: 0.000 0.000 0.500 [1 per cell]
Tm: 0.500 0.500 0.241 [2 per cell]

=====

The following is a DFT calculation (PBE) of a geometry-optimized FeHgRu4 structure.

Summary:
formation energy from the elements: 671 meV/atom
DFT total energy: -0.2563 Ha/atom
volume: 383.6 Å³/cell
N(E_F): 9.8 states/eV/f.u.

abc: 7.266 7.266 7.266
angles: 90.00 90.00 90.00
Space group F-43m (No. 216)
Inequivalent atoms, fractional coordinates:
Fe: 0.000 0.000 0.000 [4 per cell]
Hg: 0.250 0.250 0.750 [4 per cell]
Ru: 0.125 0.125 0.375 [16 per cell]

=====

The following is a DFT calculation (PBE) of a geometry-optimized TbGaPtRh structure.

Summary:
formation energy from the elements: -804 meV/atom
DFT total energy: -0.2229 Ha/atom
volume: 283.6 Å³/cell
N(E_F): 3.1 states/eV/f.u.

abc: 6.570 6.570 6.570
angles: 90.00 90.00 90.00
Space group F-43m (No. 216)
Inequivalent atoms, fractional coordinates:
Tb: 0.000 0.000 0.000 [4 per cell]
Ga: 0.000 0.000 0.500 [4 per cell]
Pt: 0.250 0.250 0.250 [4 per cell]
Rh: 0.250 0.250 0.750 [4 per cell]

=====

The following is a DFT calculation (PBE) of a geometry-optimized LaPm4Er6 structure.

Summary:
formation energy from the elements: 148 meV/atom
DFT total energy: -0.1660 Ha/atom
volume: 371.0 Å³/cell
N(E_F): 15.8 states/eV/f.u.

abc: 10.9949 10.9949 3.5438
angles: 90.00 90.00 120.00
Space group P-6m2 (No. 187)
Inequivalent atoms, fractional coordinates:
La: 0.0000 0.0000 0.0000 [1 per cell]
Pm: 0.1987 0.3974 0.5000 [3 per cell]
Pm: 0.6667 0.3333 0.0000 [1 per cell]
Er: 0.3446 0.1723 0.5000 [3 per cell]
Er: 0.5040 0.0079 0.0000 [3 per cell]

=====

The following is a DFT calculation (PBE) of a geometry-optimized Zr2HgSb structure.

Summary:
DFT total energy: -0.2086 Ha/atom
volume: 92.3 Å³/cell
energy relative to the elements, uncorrected: -0.297 eV/atom
excess energy over the best structure of this formula in the dataset: 0.23 eV per formula unit
N(E_F): 3.8 states/eV/f.u.

abc: 3.905 3.905 6.055
angles: 90.00 90.00 90.00
Space group P4mm (No. 99)
Inequivalent atoms, fractional coordinates:
Zr: 0.000 0.000 0.000 [1 per cell]
Zr: 0.500 0.500 0.268 [1 per cell]
Hg: 0.000 0.000 0.493 [1 per cell]
Sb: 0.500 0.500 0.779 [1 per cell]